Below is a relaxed structure of La2Cd2BPt4, with properties calculated at the GGA-PBE level.

```
La2Cd2BPt4
1.0
-3.3853 3.3853 3.9666
3.3853 -3.3853 3.9666
3.3853 3.3853 -3.9666
La Cd B Pt
2 2 1 4
Direct
0.2500 0.7500 0.5000
0.7500 0.2500 0.5000
0.1771 0.1771 0.0000
0.8229 0.8229 0.0000
0.5000 0.5000 0.0000
0.2776 0.2776 0.5552
0.2776 0.7224 0.0000
0.7224 0.2776 0.0000
0.7224 0.7224 0.4448
```

SG: I4/mmm (139)
Energy of formation in meV/atom: -666

Below is a relaxed structure of LaCd4B3Pt12, with properties calculated at the GGA-PBE level.

```
LaCd4B3Pt12
1.0
-4.4795 4.4795 4.4795
4.4795 -4.4795 4.4795
4.4795 4.4795 -4.4795
La Cd B Pt
1 4 3 12
Direct
0.0000 0.0000 0.0000
0.0000 0.0000 0.5000
0.0000 0.5000 0.0000
0.5000 0.0000 0.0000
0.5000 0.5000 0.5000
0.0000 0.5000 0.5000
0.5000 0.0000 0.5000
0.5000 0.5000 0.0000
0.0000 0.2850 0.2850
0.0000 0.7150 0.7150
0.2500 0.5000 0.7500
0.2500 0.7500 0.5000
0.2850 0.0000 0.2850
0.2850 0.2850 0.0000
0.5000 0.2500 0.7500
0.5000 0.7500 0.2500
0.7150 0.0000 0.7150
0.7150 0.7150 0.0000
0.7500 0.2500 0.5000
0.7500 0.5000 0.2500
```

SG: Im-3m (229)
Energy of formation in meV/atom: 92

Below is a relaxed structure of La2CdB2Rh5, with properties calculated at the GGA-PBE level.

```
La2CdB2Rh5
1.0
9.9236 0.0000 0.0000
0.0000 9.9236 0.0000
0.0000 0.0000 3.2665
La Cd B Rh
4 2 4 10
Direct
0.1774 0.3226 0.0000
0.3226 0.8226 0.0000
0.6774 0.1774 0.0000
0.8226 0.6774 0.0000
0.0000 0.0000 0.0000
0.5000 0.5000 0.0000
0.1200 0.6200 0.0000
0.3800 0.1200 0.0000
0.6200 0.8800 0.0000
0.8800 0.3800 0.0000
0.0000 0.5000 0.5000
0.0701 0.7680 0.5000
0.2320 0.0701 0.5000
0.2680 0.5701 0.5000
0.4299 0.2680 0.5000
0.5000 0.0000 0.5000
0.5701 0.7320 0.5000
0.7320 0.4299 0.5000
0.7680 0.9299 0.5000
0.9299 0.2320 0.5000
```

SG: P4/mbm (127)
Energy of formation in meV/atom: -605

Below is a relaxed structure of LaCd2BSb, with properties calculated at the GGA-PBE level.

```
LaCd2BSb
1.0
6.2944 0.0000 0.0000
0.0000 6.2944 0.0000
0.0000 0.0000 5.9969
La Cd B Sb
1 2 1 1
Direct
0.0000 0.0000 0.0000
0.0000 0.5000 0.0000
0.5000 0.0000 0.0000
0.5000 0.5000 0.5000
0.0000 0.0000 0.5000
```

SG: P4/mmm (123)
Formation energy from raw total energies in kcal/mol of atoms: 34.2

Below is a relaxed structure of La2CdBSe, with properties calculated at the GGA-PBE level.

```
La2CdBSe
1.0
5.6238 0.0000 0.0000
0.0000 5.6238 0.0000
0.0000 0.0000 5.0360
La Cd B Se
2 1 1 1
Direct
0.0000 0.5000 0.0000
0.5000 0.0000 0.0000
0.0000 0.0000 0.5000
0.5000 0.5000 0.5000
0.0000 0.0000 0.0000
```

SG: P4/mmm (123)
Formation energy from raw total energies in kcal/mol of atoms: 9.3

Below is a relaxed structure of SrLaCdB2, with properties calculated at the GGA-PBE level.

```
SrLaCdB2
1.0
4.8933 0.0000 0.0000
0.0000 4.8933 0.0000
0.0000 0.0000 6.4422
Sr La Cd B
1 1 1 2
Direct
0.0000 0.0000 0.0000
0.0000 0.0000 0.5000
0.5000 0.5000 0.0000
0.0000 0.5000 0.5000
0.5000 0.0000 0.5000
```

SG: P4/mmm (123)
Energy of formation in meV/atom: 1546

Computed magnetic moment, in the same sequence as the records: 0.00, 0.00, 0.00, 0.79, 0.00, 0.00 Bohr magnetons per cell.